La4SbHPb | GGA-PBE | relaxed

Cell: 9.785 9.785 6.672 Å, 90.00 90.00 140.27°
Element x y z (fractional)
1 La 0.000 0.500 0.000
2 La 0.000 0.500 0.500
3 La 0.070 0.930 0.750
4 La 0.429 0.571 0.750
5 La 0.500 0.000 0.000
6 La 0.500 0.000 0.500
7 La 0.571 0.429 0.250
8 La 0.930 0.070 0.250
9 Sb 0.114 0.886 0.250
10 Sb 0.886 0.114 0.750
11 H 0.205 0.795 0.750
12 H 0.795 0.205 0.250
13 Pb 0.389 0.611 0.250
14 Pb 0.611 0.389 0.750

Summary:
**Symmetry**: Cmcm, No. 63
**Uncorrected energy**: -0.189 hartree per atom


Fe2IrPt4 | GGA-PBE | relaxed

Cell: 7.192 7.192 7.192 Å, 126.65 126.65 78.82°
Element x y z (fractional)
1 Fe 0.146 0.646 0.792
2 Fe 0.354 0.146 0.500
3 Fe 0.646 0.854 0.500
4 Fe 0.854 0.354 0.208
5 Ir 0.250 0.250 0.000
6 Ir 0.750 0.750 0.000
7 Pt 0.001 0.189 0.500
8 Pt 0.189 0.689 0.189
9 Pt 0.311 0.499 0.500
10 Pt 0.499 0.999 0.189
11 Pt 0.501 0.001 0.811
12 Pt 0.689 0.501 0.500
13 Pt 0.811 0.311 0.811
14 Pt 0.999 0.811 0.500

Summary:
**Energy of formation from the pure elements**: 0.2662 eV per atom
**Symmetry**: I4/mcm, No. 140


PmTm4Zn5 | GGA-PBE | relaxed

Cell: 3.542 3.542 17.818 Å, 90.00 90.00 90.00°
Element x y z (fractional)
1 Pm 0.000 0.000 0.000
2 Tm 0.000 0.000 0.205
3 Tm 0.000 0.000 0.402
4 Tm 0.000 0.000 0.598
5 Tm 0.000 0.000 0.795
6 Zn 0.500 0.500 0.110
7 Zn 0.500 0.500 0.303
8 Zn 0.500 0.500 0.500
9 Zn 0.500 0.500 0.697
10 Zn 0.500 0.500 0.890

Summary:
**Energy of formation from the pure elements**: -0.3402 eV per atom
**Symmetry**: P4/mmm, No. 123


Tc3SbTe | GGA-PBE | relaxed

Cell: 4.871 4.871 4.871 Å, 90.00 90.00 90.00°
Element x y z (fractional)
1 Tc 0.000 0.000 0.500
2 Tc 0.000 0.500 0.000
3 Tc 0.500 0.000 0.000
4 Sb 0.500 0.500 0.500
5 Te 0.000 0.000 0.000

Summary:
**Uncorrected formation energy**: 1.6058 eV per atom
**Excess energy over the best structure of this formula in the dataset**: 0.000 eV per atom
**Symmetry**: Pm-3m, No. 221


BaInGe2 | GGA-PBE | relaxed

Cell: 9.097 4.180 12.123 Å, 90.00 90.00 90.00°
Element x y z (fractional)
1 Ba 0.158 0.250 0.124
2 Ba 0.342 0.750 0.624
3 Ba 0.658 0.250 0.376
4 Ba 0.842 0.750 0.876
5 In 0.024 0.750 0.396
6 In 0.476 0.250 0.896
7 In 0.524 0.750 0.104
8 In 0.976 0.250 0.604
9 Ge 0.130 0.250 0.809
10 Ge 0.240 0.750 0.905
11 Ge 0.260 0.250 0.405
12 Ge 0.370 0.750 0.309
13 Ge 0.630 0.250 0.691
14 Ge 0.740 0.750 0.595
15 Ge 0.760 0.250 0.095
16 Ge 0.870 0.750 0.191

Summary:
**Energy of formation from the pure elements**: -0.3364 eV per atom
**Symmetry**: Pnma, No. 62


CaPmOs2O8 | GGA-PBE | relaxed

Cell: 6.858 6.858 6.858 Å, 134.36 134.36 66.53°
Element x y z (fractional)
1 Ca 0.000 0.000 0.000
2 Pm 0.250 0.750 0.500
3 Os 0.500 0.500 0.000
4 Os 0.750 0.250 0.500
5 O 0.256 0.667 0.088
6 O 0.333 0.420 0.588
7 O 0.419 0.004 0.083
8 O 0.580 0.168 0.912
9 O 0.665 0.581 0.585
10 O 0.832 0.744 0.412
11 O 0.920 0.335 0.917
12 O 0.996 0.080 0.415

Summary:
**Uncorrected formation energy**: -1.7451 eV per atom
**Symmetry**: I-4, No. 82